Sc3ZnC (PBE, relaxed); energy above the lowest structure with this stoichiometry = 0 meV/atom; final energy = -6.34 eV/atom
1.0
6.4035 0.0000 0.0000
0.0000 8.8930 0.0000
0.0000 0.0000 6.3350
Sc Zn C
12 4 4
direct
0.0004 0.2500 0.0652
0.9996 0.7500 0.9348
0.2490 0.0326 0.7489
0.2490 0.4674 0.7489
0.2510 0.5326 0.2489
0.2510 0.9674 0.2489
0.5004 0.2500 0.4348
0.4996 0.7500 0.5652
0.7490 0.0326 0.7511
0.7490 0.4674 0.7511
0.7510 0.5326 0.2511
0.7510 0.9674 0.2511
0.0010 0.7500 0.4928
0.4990 0.2500 0.9928
0.5010 0.7500 0.0072
0.9990 0.2500 0.5072
0.0000 0.0000 0.0000
0.0000 0.5000 0.0000
0.5000 0.0000 0.5000
0.5000 0.5000 0.5000